DFT (PBE) results for La7Ho12Sc after structural relaxation.

```
data_La7Ho12Sc
_cell_length_a 8.7589
_cell_length_b 8.7589
_cell_length_c 8.7589
_cell_angle_alpha 92.53
_cell_angle_beta 92.53
_cell_angle_gamma 92.53
_symmetry_space_group_name_H-M 'P 1'
_symmetry_Int_Tables_number 1
loop_
_symmetry_equiv_pos_as_xyz
'x,y,z'
loop_
_atom_site_label
_atom_site_fract_x
_atom_site_fract_y
_atom_site_fract_z
La1 0.8794 0.6325 0.9587
La2 0.3675 0.0413 0.1206
La3 0.0413 0.1206 0.3675
La4 0.5000 0.5000 0.5000
La5 0.9587 0.8794 0.6325
La6 0.6325 0.9587 0.8794
La7 0.1206 0.3675 0.0413
Ho1 0.8637 0.2608 0.7097
Ho2 0.7392 0.2903 0.1363
Ho3 0.5581 0.1643 0.4584
Ho4 0.8357 0.5416 0.4419
Ho5 0.2903 0.1363 0.7392
Ho6 0.5416 0.4419 0.8357
Ho7 0.4584 0.5581 0.1643
Ho8 0.7097 0.8637 0.2608
Ho9 0.1643 0.4584 0.5581
Ho10 0.4419 0.8357 0.5416
Ho11 0.2608 0.7097 0.8637
Ho12 0.1363 0.7392 0.2903
Sc1 0.0000 0.0000 0.0000
```

Computed properties:
The total DFT energy (no corrections) comes out at -90.77 eV/f.u. Its space group is R-3.


DFT (PBE) results for MgInNiIr after structural relaxation.

```
data_MgInNiIr
_cell_length_a 4.4609
_cell_length_b 4.4609
_cell_length_c 4.4609
_cell_angle_alpha 60.00
_cell_angle_beta 60.00
_cell_angle_gamma 60.00
_symmetry_space_group_name_H-M 'P 1'
_symmetry_Int_Tables_number 1
loop_
_symmetry_equiv_pos_as_xyz
'x,y,z'
loop_
_atom_site_label
_atom_site_fract_x
_atom_site_fract_y
_atom_site_fract_z
Ni1 0.5000 0.5000 0.5000
Mg1 0.7500 0.7500 0.7500
Ir1 0.0000 0.0000 0.0000
In1 0.2500 0.2500 0.2500
```

Computed properties:
The total DFT energy (no corrections) comes out at -19.88 eV/f.u. Its space group is F-43m.


DFT (PBE) results for PrDy2Mg after structural relaxation.

```
data_PrDy2Mg
_cell_length_a 3.4399
_cell_length_b 3.4399
_cell_length_c 12.3822
_cell_angle_alpha 82.02
_cell_angle_beta 82.02
_cell_angle_gamma 60.00
_symmetry_space_group_name_H-M 'P 1'
_symmetry_Int_Tables_number 1
loop_
_symmetry_equiv_pos_as_xyz
'x,y,z'
loop_
_atom_site_label
_atom_site_fract_x
_atom_site_fract_y
_atom_site_fract_z
Pr1 0.0000 0.0000 0.0000
Mg1 0.5000 0.5000 0.5000
Dy1 0.0937 0.0937 0.7188
Dy2 0.9063 0.9063 0.2812
```

Computed properties:
The total DFT energy (no corrections) comes out at -14.79 eV/f.u. Its space group is R-3m.


DFT (PBE) results for YCu2Sb after structural relaxation.

```
data_YCu2Sb
_cell_length_a 4.8222
_cell_length_b 4.8222
_cell_length_c 4.8222
_cell_angle_alpha 60.00
_cell_angle_beta 60.00
_cell_angle_gamma 60.00
_symmetry_space_group_name_H-M 'P 1'
_symmetry_Int_Tables_number 1
loop_
_symmetry_equiv_pos_as_xyz
'x,y,z'
loop_
_atom_site_label
_atom_site_fract_x
_atom_site_fract_y
_atom_site_fract_z
Cu1 0.0000 0.0000 0.0000
Cu2 0.2500 0.2500 0.2500
Sb1 0.5000 0.5000 0.5000
Y1 0.7500 0.7500 0.7500
```

Computed properties:
Its uncorrected formation energy is -146 meV per atom. Its space group is F-43m.


DFT (PBE) results for Dy8CN3 after structural relaxation.

```
data_Dy8CN3
_cell_length_a 7.0375
_cell_length_b 7.0459
_cell_length_c 7.2231
_cell_angle_alpha 119.25
_cell_angle_beta 90.00
_cell_angle_gamma 119.96
_symmetry_space_group_name_H-M 'P 1'
_symmetry_Int_Tables_number 1
loop_
_symmetry_equiv_pos_as_xyz
'x,y,z'
loop_
_atom_site_label
_atom_site_fract_x
_atom_site_fract_y
_atom_site_fract_z
Dy1 0.2588 0.5176 0.7768
Dy2 0.7412 0.4824 0.2232
Dy3 0.2595 0.0163 0.7735
Dy4 0.7568 0.0163 0.7735
Dy5 0.7569 0.5139 0.7736
Dy6 0.2431 0.4861 0.2264
Dy7 0.2432 0.9837 0.2265
Dy8 0.7405 0.9837 0.2265
C1 0.0000 0.0000 0.0000
N1 0.5000 0.0000 0.0000
N2 0.5000 0.5000 0.0000
N3 0.0000 0.5000 0.0000
```

Computed properties:
Its uncorrected formation energy is -882 meV per atom. Its space group is C2/m.


DFT (PBE) results for Nd3Dy2Er2 after structural relaxation.

```
data_Nd3Dy2Er2
_cell_length_a 3.5939
_cell_length_b 11.8861
_cell_length_c 6.2213
_cell_angle_alpha 69.75
_cell_angle_beta 73.16
_cell_angle_gamma 98.65
_symmetry_space_group_name_H-M 'P 1'
_symmetry_Int_Tables_number 1
loop_
_symmetry_equiv_pos_as_xyz
'x,y,z'
loop_
_atom_site_label
_atom_site_fract_x
_atom_site_fract_y
_atom_site_fract_z
Nd1 0.0000 0.0000 0.0000
Nd2 0.5705 0.4281 0.2874
Nd3 0.4295 0.5719 0.7126
Dy1 0.8559 0.1413 0.4291
Dy2 0.1441 0.8587 0.5709
Er1 0.7113 0.2838 0.8619
Er2 0.2887 0.7162 0.1381
```

Computed properties:
The total DFT energy (no corrections) comes out at -32.49 eV/f.u. Its space group is C2/m.


DFT (PBE) results for Mn2HgPd8 after structural relaxation.

```
data_Mn2HgPd8
_cell_length_a 4.1996
_cell_length_b 6.9811
_cell_length_c 7.3244
_cell_angle_alpha 118.46
_cell_angle_beta 106.66
_cell_angle_gamma 90.00
_symmetry_space_group_name_H-M 'P 1'
_symmetry_Int_Tables_number 1
loop_
_symmetry_equiv_pos_as_xyz
'x,y,z'
loop_
_atom_site_label
_atom_site_fract_x
_atom_site_fract_y
_atom_site_fract_z
Mn1 0.1950 0.6950 0.3900
Mn2 0.8050 0.3050 0.6100
Hg1 0.5000 0.0000 0.0000
Pd1 0.6585 0.8738 0.3171
Pd2 0.3414 0.5567 0.6829
Pd3 0.1547 0.1547 0.3094
Pd4 0.0000 0.3050 0.0000
Pd5 0.8453 0.8453 0.6906
Pd6 0.6586 0.4433 0.3171
Pd7 0.3415 0.1262 0.6829
Pd8 0.0000 0.6950 0.0000
```

Computed properties:
The total DFT energy (no corrections) comes out at -61.34 eV/f.u. Its space group is Immm.


DFT (PBE) results for NdErLu2 after structural relaxation.

```
data_NdErLu2
_cell_length_a 4.9500
_cell_length_b 5.0058
_cell_length_c 5.0058
_cell_angle_alpha 90.00
_cell_angle_beta 90.00
_cell_angle_gamma 90.00
_symmetry_space_group_name_H-M 'P 1'
_symmetry_Int_Tables_number 1
loop_
_symmetry_equiv_pos_as_xyz
'x,y,z'
loop_
_atom_site_label
_atom_site_fract_x
_atom_site_fract_y
_atom_site_fract_z
Lu1 0.0000 0.0000 0.5000
Lu2 0.0000 0.5000 0.0000
Nd1 0.5000 0.0000 0.0000
Er1 0.5000 0.5000 0.5000
```

Computed properties:
The total DFT energy (no corrections) comes out at -18.25 eV/f.u. Its space group is P4/mmm.


DFT (PBE) results for Ba2CoPt after structural relaxation.

```
data_Ba2CoPt
_cell_length_a 8.2944
_cell_length_b 8.2944
_cell_length_c 8.2944
_cell_angle_alpha 31.62
_cell_angle_beta 31.62
_cell_angle_gamma 31.62
_symmetry_space_group_name_H-M 'P 1'
_symmetry_Int_Tables_number 1
loop_
_symmetry_equiv_pos_as_xyz
'x,y,z'
loop_
_atom_site_label
_atom_site_fract_x
_atom_site_fract_y
_atom_site_fract_z
Ba1 0.9944 0.9944 0.9944
Ba2 0.5056 0.5056 0.5056
Co1 0.7500 0.7500 0.7500
Pt1 0.2500 0.2500 0.2500
```

Computed properties:
The total DFT energy (no corrections) comes out at -16.41 eV/f.u. Its space group is R-3m.


DFT (PBE) results for Er7Sn2Au2 after structural relaxation.

```
data_Er7Sn2Au2
_cell_length_a 6.9237
_cell_length_b 6.9956
_cell_length_c 6.9237
_cell_angle_alpha 90.00
_cell_angle_beta 105.71
_cell_angle_gamma 90.00
_symmetry_space_group_name_H-M 'P 1'
_symmetry_Int_Tables_number 1
loop_
_symmetry_equiv_pos_as_xyz
'x,y,z'
loop_
_atom_site_label
_atom_site_fract_x
_atom_site_fract_y
_atom_site_fract_z
Er1 0.9998 0.2607 0.5003
Er2 0.5003 0.7393 0.9998
Er3 0.0002 0.7393 0.4997
Er4 0.4997 0.2607 0.0002
Er5 0.0000 0.0000 0.0000
Er6 0.5002 0.7534 0.4998
Er7 0.4998 0.2466 0.5002
Sn1 0.8200 0.5000 0.8200
Sn2 0.1800 0.5000 0.1800
Au1 0.7138 0.0000 0.2862
Au2 0.2862 0.0000 0.7138
```

Computed properties:
The total DFT energy (no corrections) comes out at -50.79 eV/f.u. Its space group is Cmmm.


DFT (PBE) results for KGaGe after structural relaxation.

```
data_KGaGe
_cell_length_a 7.1109
_cell_length_b 5.9194
_cell_length_c 4.3651
_cell_angle_alpha 90.00
_cell_angle_beta 90.00
_cell_angle_gamma 90.00
_symmetry_space_group_name_H-M 'P 1'
_symmetry_Int_Tables_number 1
loop_
_symmetry_equiv_pos_as_xyz
'x,y,z'
loop_
_atom_site_label
_atom_site_fract_x
_atom_site_fract_y
_atom_site_fract_z
Ge1 0.2500 0.5000 0.1095
Ge2 0.7500 0.5000 0.8905
K1 0.2500 0.0000 0.7261
K2 0.7500 0.0000 0.2739
Ga1 0.0000 0.5000 0.5000
Ga2 0.5000 0.5000 0.5000
```

Computed properties:
The total DFT energy (no corrections) comes out at -8.62 eV/f.u. Its space group is Pmma.


DFT (PBE) results for LiCu6Au8 after structural relaxation.

```
data_LiCu6Au8
_cell_length_a 2.8441
_cell_length_b 9.9056
_cell_length_c 9.9056
_cell_angle_alpha 120.00
_cell_angle_beta 90.00
_cell_angle_gamma 90.00
_symmetry_space_group_name_H-M 'P 1'
_symmetry_Int_Tables_number 1
loop_
_symmetry_equiv_pos_as_xyz
'x,y,z'
loop_
_atom_site_label
_atom_site_fract_x
_atom_site_fract_y
_atom_site_fract_z
Li1 0.5000 0.0000 0.0000
Cu1 0.7455 0.5224 0.6116
Cu2 0.7455 0.3884 0.9108
Cu3 0.7455 0.0892 0.4776
Cu4 0.2545 0.4776 0.3884
Cu5 0.2545 0.6116 0.0892
Cu6 0.2545 0.9108 0.5224
Au1 0.7643 0.7001 0.9187
Au2 0.7643 0.0813 0.7814
Au3 0.7643 0.2186 0.2999
Au4 0.2357 0.2999 0.0813
Au5 0.2357 0.9187 0.2186
Au6 0.2357 0.7814 0.7001
Au7 0.7549 0.6667 0.3333
Au8 0.2451 0.3333 0.6667
```

Computed properties:
The total DFT energy (no corrections) comes out at -52.75 eV/f.u. Its space group is P-3.